This record from Alexandria via LeMat-Bulk describes a relaxed structure of BeInSi. The functional is PBE-GGA.

Cell: 3.317 3.317 5.447 Å, 90.00 90.00 120.00°
Sites, in units of the cell vectors:
1 Be 0.000 0.000 0.964
2 Si 0.333 0.667 0.721
3 In 0.667 0.333 0.315

## Properties
The calculation puts the calculated total energy at -3.46 eV/atom. The calculation puts the mass density at 4.86 g cm⁻³. Its space group is No. 156. For the raw formation energy, the calculation gives 0.51 eV/atom. For the density of states at the Fermi level, the calculation gives 1.16 states/eV/cell.

---

This record from Alexandria via LeMat-Bulk describes a relaxed structure of YHoIn2Se4. The functional is PBE-GGA.

Cell: 4.143 7.174 8.106 Å, 107.15 90.00 90.00°
Sites, in units of the cell vectors:
1 Y 0.000 0.000 0.000
2 Ho 0.500 0.500 0.000
3 In 0.500 0.000 0.500
4 In 0.000 0.500 0.500
5 Se 0.500 0.237 0.208
6 Se 0.500 0.763 0.792
7 Se 0.000 0.266 0.792
8 Se 0.000 0.734 0.208

## Properties
The calculation puts the calculated total energy at -5.11 eV/atom. The calculation puts the mass density at 5.77 g cm⁻³. Its space group is No. 10. For the raw formation energy, the calculation gives -1.30 eV/atom.

---

This record from Alexandria via LeMat-Bulk describes a relaxed structure of Ho3ErTm5. The functional is PBE-GGA.

Cell: 9.353 9.353 11.397 Å, 52.78 52.78 73.42°
Sites, in units of the cell vectors:
1 Ho 0.698 0.698 0.812
2 Ho 0.657 0.657 0.366
3 Ho 0.000 0.000 0.000
4 Ho 0.000 0.000 0.500
5 Ho 0.302 0.302 0.188
6 Ho 0.343 0.343 0.634
7 Er 0.146 0.146 0.603
8 Er 0.854 0.854 0.397
9 Tm 0.849 0.347 0.250
10 Tm 0.261 0.739 0.000
11 Tm 0.813 0.813 0.965
12 Tm 0.489 0.489 0.230
13 Tm 0.511 0.511 0.770
14 Tm 0.187 0.187 0.035
15 Tm 0.347 0.849 0.250
16 Tm 0.739 0.261 0.000
17 Tm 0.151 0.653 0.750
18 Tm 0.653 0.151 0.750

## Properties
The calculation puts the calculated total energy at -3.98 eV/atom. The calculation puts the mass density at 7.98 g cm⁻³. The distance to the lowest polymorph of the same formula is 405 meV per atom. Its space group is No. 12. For the density of states at the Fermi level, the calculation gives 23.38 states/eV/cell.

---

This record from Alexandria via LeMat-Bulk describes a relaxed structure of Zr2Sc2Os. The functional is PBE-GGA.

Cell: 5.549 5.549 8.151 Å, 102.67 102.67 110.83°
Sites, in units of the cell vectors:
1 Zr 0.798 0.798 0.500
2 Zr 0.208 0.208 0.916
3 Zr 0.792 0.792 0.084
4 Zr 0.202 0.202 0.500
5 Sc 0.188 0.598 0.286
6 Sc 0.812 0.402 0.714
7 Sc 0.598 0.188 0.286
8 Sc 0.402 0.812 0.714
9 Os 0.250 0.750 0.000
10 Os 0.750 0.250 0.000

## Properties
The calculation puts the calculated total energy at -8.37 eV/atom. The calculation puts the mass density at 7.10 g cm⁻³. The distance to the lowest polymorph of the same formula is 0 meV per atom. Its space group is No. 69. For the density of states at the Fermi level, the calculation gives 7.06 states/eV/cell.

---

This record from Alexandria via LeMat-Bulk describes a relaxed structure of Ce4Hg2Ru. The functional is PBE-GGA.

Cell: 5.193 5.193 8.749 Å, 107.26 107.26 90.00°
Last column: magnetic moment on the atom in μB.
Sites, in units of the cell vectors:
1 Ru 0.000 0.000 0.000  -0.04
2 Hg 0.625 0.625 0.250  0.01
3 Hg 0.375 0.375 0.750  0.01
4 Ce 0.816 0.816 0.633  0.96
5 Ce 0.184 0.184 0.367  0.96
6 Ce 0.000 0.500 0.000  0.27
7 Ce 0.500 0.000 0.000  0.27

## Properties
The calculation puts the calculated total energy at -4.95 eV/atom. The calculation puts the mass density at 8.24 g cm⁻³. Its space group is No. 139. For the density of states at the Fermi level, the calculation gives 24.73 states/eV/cell.

---

This record from Alexandria via LeMat-Bulk describes a relaxed structure of Nd3ErHg. The functional is PBE-GGA.

Cell: 6.896 6.896 8.869 Å, 88.78 119.63 113.04°
Sites, in units of the cell vectors:
1 Nd 0.736 0.917 0.145
2 Nd 0.228 0.409 0.145
3 Nd 0.772 0.591 0.855
4 Nd 0.817 0.450 0.267
5 Nd 0.264 0.083 0.855
6 Nd 0.183 0.550 0.733
7 Er 0.682 0.059 0.741
8 Er 0.318 0.941 0.259
9 Hg 0.733 0.766 0.499
10 Hg 0.267 0.234 0.501

## Properties
The calculation puts the calculated total energy at -3.92 eV/atom. The calculation puts the mass density at 8.07 g cm⁻³. The distance to the lowest polymorph of the same formula is 79 meV per atom. Its space group is No. 12. For the density of states at the Fermi level, the calculation gives 10.24 states/eV/cell.

---

This record from Alexandria via LeMat-Bulk describes a relaxed structure of Re2SbO. The functional is PBE-GGA.

Cell: 4.381 4.381 4.381 Å, 60.00 60.00 60.00°
Sites, in units of the cell vectors:
1 Re 0.250 0.250 0.250
2 Re 0.750 0.750 0.750
3 O 0.000 0.000 0.000
4 Sb 0.500 0.500 0.500

## Properties
The calculation puts the calculated total energy at -7.63 eV/atom. The calculation puts the mass density at 14.25 g cm⁻³. The distance to the lowest polymorph of the same formula is 520 meV per atom. Its space group is No. 225. For the raw formation energy, the calculation gives 0.87 eV/atom. For the density of states at the Fermi level, the calculation gives 4.90 states/eV/cell.

---

This record from Alexandria via LeMat-Bulk describes a relaxed structure of SrZrTlO2. The functional is PBE-GGA.

Cell: 4.564 5.873 4.564 Å, 90.00 90.00 90.00°
Sites, in units of the cell vectors:
1 Sr 0.000 0.500 0.000
2 Tl 0.000 0.000 0.000
3 O 0.000 0.000 0.500
4 O 0.500 0.000 0.000
5 Zr 0.500 0.500 0.500

## Properties
The calculation puts the calculated total energy at -3.80 eV/atom. The calculation puts the mass density at 5.64 g cm⁻³. Its space group is No. 123. For the raw formation energy, the calculation gives 0.70 eV/atom. For the density of states at the Fermi level, the calculation gives 6.42 states/eV/cell.

---

This record from Alexandria via LeMat-Bulk describes a relaxed structure of Cr2ReNi. The functional is PBE-GGA.

Cell: 4.780 4.911 2.510 Å, 79.32 81.70 116.73°
Sites, in units of the cell vectors:
1 Cr 0.000 0.000 0.000
2 Cr 0.500 0.000 0.500
3 Ni 0.000 0.500 0.500
4 Re 0.500 0.500 0.000

## Properties
The calculation puts the calculated total energy at -9.23 eV/atom. The calculation puts the mass density at 11.60 g cm⁻³. Its space group is No. 12. For the density of states at the Fermi level, the calculation gives 5.51 states/eV/cell.

---

This record from Alexandria via LeMat-Bulk describes a relaxed structure of CoHgRuRh2. The functional is PBE-GGA.

Cell: 4.445 4.768 4.445 Å, 90.00 90.00 90.00°
Last column: magnetic moment on the atom in μB.
Sites, in units of the cell vectors:
1 Ru 0.500 0.500 0.500  2.27
2 Rh 0.000 0.000 0.500  0.91
3 Rh 0.500 0.000 0.000  0.82
4 Hg 0.000 0.500 0.000  -0.01
5 Co 0.000 0.000 0.000  1.60

## Properties
The calculation puts the calculated total energy at -4.95 eV/atom. The calculation puts the mass density at 9.99 g cm⁻³. Its space group is No. 123. For the density of states at the Fermi level, the calculation gives 7.06 states/eV/cell.

---

This record from Alexandria via LeMat-Bulk describes a relaxed structure of Ag7S2Cl2. The functional is PBE-GGA.

Cell: 5.924 6.978 6.978 Å, 67.56 91.02 91.02°
Sites, in units of the cell vectors:
1 Ag 0.763 0.911 0.514
2 Ag 0.237 0.486 0.089
3 Ag 0.237 0.089 0.486
4 Ag 0.763 0.514 0.911
5 Ag 0.500 0.000 0.000
6 Ag 0.141 0.646 0.646
7 Ag 0.859 0.354 0.354
8 S 0.542 0.207 0.207
9 S 0.458 0.793 0.793
10 Cl 0.000 0.259 0.741
11 Cl 0.000 0.741 0.259

## Properties
The calculation puts the calculated total energy at -2.97 eV/atom. The calculation puts the mass density at 5.55 g cm⁻³. The distance to the lowest polymorph of the same formula is 0 meV per atom. Its space group is No. 12. For the raw formation energy, the calculation gives -0.07 eV/atom. For the density of states at the Fermi level, the calculation gives 0.97 states/eV/cell.

---

This record from Alexandria via LeMat-Bulk describes a relaxed structure of LaLuCo2. The functional is PBE-GGA.

Cell: 4.788 4.788 4.788 Å, 60.00 60.00 60.00°
Last column: magnetic moment on the atom in μB.
Sites, in units of the cell vectors:
1 Lu 0.000 0.000 0.000  0.17
2 Co 0.250 0.250 0.250  -0.57
3 Co 0.750 0.750 0.750  -0.57
4 La 0.500 0.500 0.500  0.12

## Properties
The calculation puts the calculated total energy at -5.98 eV/atom. The calculation puts the mass density at 9.23 g cm⁻³. The distance to the lowest polymorph of the same formula is 11 meV per atom. Its space group is No. 225. For the density of states at the Fermi level, the calculation gives 1.28 states/eV/cell.

---

This record from Alexandria via LeMat-Bulk describes a relaxed structure of Rb2Hg2SeS2. The functional is PBE-GGA.

Cell: 4.248 7.944 9.484 Å, 53.42 89.97 74.48°
Sites, in units of the cell vectors:
1 Rb 0.501 0.000 0.720
2 Rb 0.499 0.000 0.280
3 Hg 0.781 0.438 0.780
4 Hg 0.219 0.562 0.220
5 Se 0.000 0.000 0.000
6 S 0.828 0.342 0.330
7 S 0.172 0.658 0.670

## Properties
The calculation puts the calculated total energy at -2.62 eV/atom. The calculation puts the mass density at 4.90 g cm⁻³. Its space group is No. 12. For the raw formation energy, the calculation gives -0.58 eV/atom. For the density of states at the Fermi level, the calculation gives 0.92 states/eV/cell.